[1]
Here is a relaxed structure of MgH from Alexandria. Energies are from PBE-GGA.

Cell lengths 3.2471, 3.2471, 16.6371 Å; angles 90.00, 90.00, 120.00 degrees
Last column: nearest neighbours and their distance in Å.
Fractional coordinates of all 12 atoms:
1 Mg 0.0000 0.0000 0.2546  4 H 2.01-2.19
2 Mg 0.6667 0.3333 0.0787  4 H 2.01-2.19
3 H 0.6667 0.3333 0.4563  4 Mg 2.01-2.19
4 H 0.3333 0.6667 0.7896  4 Mg 2.01-2.19
5 Mg 0.3333 0.6667 0.4121  4 H 2.01-2.19
6 Mg 0.6667 0.3333 0.5879  4 H 2.01-2.19
7 H 0.0000 0.0000 0.1230  4 Mg 2.01-2.19
8 H 0.0000 0.0000 0.8770  4 Mg 2.01-2.19
9 Mg 0.3333 0.6667 0.9213  4 H 2.01-2.19
10 Mg 0.0000 0.0000 0.7454  4 H 2.01-2.19
11 H 0.6667 0.3333 0.2104  4 Mg 2.01-2.19
12 H 0.3333 0.6667 0.5437  4 Mg 2.01-2.19

The distance to the lowest polymorph of the same formula comes out at 0.045 eV per atom. As for the space group: R-3m (166). Its uncorrected energy is -29.9 eV per cell. The value obtained for the total magnetization is 0.00 μB per cell.

=====

[2]
Here is a relaxed structure of LiScSe from Alexandria. Energies are from PBE-GGA.

Cell lengths 4.3826, 4.3826, 4.3826 Å; angles 60.00, 60.00, 60.00 degrees
Last column: nearest neighbours and their distance in Å.
Fractional coordinates of all 3 atoms:
1 Se 0.7500 0.7500 0.7500  4 Li 2.68, 4 Sc 2.68
2 Li 0.0000 0.0000 0.0000  4 Se 2.68
3 Sc 0.5000 0.5000 0.5000  4 Se 2.68

The distance to the lowest polymorph of the same formula comes out at 0.137 eV per atom. As for the space group: F-43m (216). Its uncorrected energy is -14.2 eV per cell. Its uncorrected formation energy is -236 kJ/mol of formula units. The value obtained for the total magnetization is 0.00 μB per cell.

=====

[3]
Here is a relaxed structure of ZnCdRh2 from Alexandria. Energies are from PBE-GGA.

Cell lengths 9.2624, 9.2624, 9.2624 Å; angles 17.61, 17.61, 17.61 degrees
Last column: nearest neighbours and their distance in Å.
Fractional coordinates of all 4 atoms:
1 Rh 0.9945 0.9945 0.9945  9 Rh 2.69-2.84, 3 Cd 2.88
2 Zn 0.5079 0.5079 0.5079  3 Rh 2.63, 6 Zn 2.84
3 Cd 0.7479 0.7479 0.7479  6 Cd 2.84, 3 Rh 2.88, 3 Zn 3.03
4 Rh 0.2497 0.2497 0.2497  3 Zn 2.63, 9 Rh 2.69-2.84

As for the space group: R3m (160). Its uncorrected energy is -16.8 eV per cell. The value obtained for the total magnetization is 0.93 μB per cell. Its formation energy is 18 meV per atom.

=====

[4]
Here is a relaxed structure of SrLi3Ag3 from Alexandria. Energies are from PBE-GGA.

Cell lengths 7.0282, 7.0282, 7.0282 Å; angles 90.00, 90.00, 90.00 degrees
Last column: nearest neighbours and their distance in Å.
Fractional coordinates of all 14 atoms:
1 Ag 0.5000 0.2500 0.0000  4 Li 2.48
2 Ag 0.0000 0.5000 0.7500  4 Li 2.48
3 Sr 0.0000 0.0000 0.0000  12 Li 3.93, 12 Ag 3.93
4 Ag 0.5000 0.7500 0.0000  4 Li 2.48
5 Ag 0.2500 0.0000 0.5000  4 Li 2.48
6 Li 0.2500 0.5000 0.0000  4 Ag 2.48
7 Ag 0.0000 0.5000 0.2500  4 Li 2.48
8 Ag 0.7500 0.0000 0.5000  4 Li 2.48
9 Li 0.0000 0.2500 0.5000  4 Ag 2.48
10 Li 0.5000 0.0000 0.7500  4 Ag 2.48
11 Sr 0.5000 0.5000 0.5000  12 Ag 3.93, 12 Li 3.93
12 Li 0.7500 0.5000 0.0000  4 Ag 2.48
13 Li 0.0000 0.7500 0.5000  4 Ag 2.48
14 Li 0.5000 0.0000 0.2500  4 Ag 2.48

The distance to the lowest polymorph of the same formula comes out at 0.181 eV per atom. As for the space group: Pm-3n (223). Its uncorrected energy is -31.4 eV per cell. The value obtained for the total magnetization is 0.00 μB per cell. Its formation energy is 38 meV per atom.

=====

[5]
Here is a relaxed structure of Y2ZrIn from Alexandria. Energies are from PBE-GGA.

Cell lengths 4.5749, 3.4653, 7.6131 Å; angles 62.88, 90.00, 90.00 degrees
Last column: nearest neighbours and their distance in Å.
Fractional coordinates of all 4 atoms:
1 Y 0.0000 0.9976 0.0032  4 Zr 3.32, 4 In 3.34-3.35, 4 Y 3.34-3.47
2 In 0.5000 0.7500 0.7500  8 Y 3.34-3.35, 2 Zr 3.39, 2 In 3.47
3 Zr 0.5000 0.2500 0.2500  8 Y 3.32, 2 In 3.39, 2 Zr 3.47
4 Y 0.0000 0.5024 0.4968  4 Zr 3.32, 4 In 3.34-3.35, 4 Y 3.34-3.47

The distance to the lowest polymorph of the same formula comes out at 0.034 eV per atom. As for the space group: Pmmm (47). Its uncorrected energy is -24.9 eV per cell. The value obtained for the total magnetization is 0.00 μB per cell. Its formation energy is -164 meV per atom.

=====

[6]
Here is a relaxed structure of Y4Sb2C from Alexandria. Energies are from PBE-GGA.

Cell lengths 4.7938, 4.7938, 8.5911 Å; angles 73.80, 73.80, 90.00 degrees
Last column: nearest neighbours and their distance in Å.
Fractional coordinates of all 7 atoms:
1 Sb 0.6423 0.6423 0.7154  9 Y 3.15-3.40
2 C 0.0000 0.0000 0.0000  6 Y 2.40-2.50
3 Sb 0.3577 0.3577 0.2846  9 Y 3.15-3.40
4 Y 0.5000 0.0000 0.0000  2 C 2.40
5 Y 0.1582 0.1582 0.6837  1 C 2.50
6 Y 0.8418 0.8418 0.3163  1 C 2.50
7 Y 0.0000 0.5000 0.0000  2 C 2.40

The distance to the lowest polymorph of the same formula comes out at 0.000 eV per atom. As for the space group: I4/mmm (139). Its uncorrected energy is -49.0 eV per cell. Its uncorrected formation energy is -544 kJ/mol of formula units. The value obtained for the total magnetization is 0.00 μB per cell.